[1]
Pm3Nd6YTm2 | PBE | optimized geometry

Structure (extended XYZ):
```
12
Lattice="3.155 -5.466 0.000 3.155 5.466 0.000 -2.101 0.000 11.779" Properties=species:S:1:pos:R:3 pbc="T T T"
Pm 0.000 0.000 0.000
Pm 3.155 1.823 0.000
Pm 3.155 -1.823 0.000
Nd 1.043 1.829 2.991
Nd -0.001 0.000 8.788
Nd 1.043 -1.829 2.991
Nd 3.166 1.829 8.788
Nd 4.211 0.000 2.991
Nd 3.166 -1.829 8.788
Y 2.105 0.000 5.890
Tm 2.105 3.645 5.890
Tm 2.105 -3.645 5.890
```

Total energy, eV per atom: -4.84
Space group: No. 12
Total magnetization, μB per formula unit: 0.0
Formation enthalpy at 0 K, eV per atom: 0.0147


[2]
Tm6TeC3 | PBE | optimized geometry

Structure (extended XYZ):
```
20
Lattice="10.243 0.000 0.000 0.000 3.634 0.000 -2.285 0.000 11.241" Properties=species:S:1:pos:R:3 pbc="T T T"
Tm -0.022 0.909 1.408
Tm 0.134 2.726 5.104
Tm 0.030 0.909 8.348
Tm 2.880 2.726 0.229
Tm 2.410 0.909 3.399
Tm 2.945 0.909 6.548
Tm 5.013 2.726 4.693
Tm 5.548 2.726 7.841
Tm 5.078 0.909 11.012
Tm 7.929 2.726 2.892
Tm 7.824 0.909 6.137
Tm 7.980 2.726 9.833
Te 2.744 2.726 9.166
Te 5.215 0.909 2.074
C -1.293 2.726 7.358
C -0.758 0.909 10.627
C 2.613 2.726 4.950
C 5.345 0.909 6.291
C 8.716 2.726 0.614
C 9.251 0.909 3.883
```

Total energy, eV per atom: -6.24
Space group: No. 11
Total magnetization, μB per formula unit: 0.9
Raw formation energy, eV/atom: -0.473


[3]
Nb3PtRh3 | PBE | optimized geometry

Structure (extended XYZ):
```
14
Lattice="3.668 2.118 5.423 -3.668 2.118 5.423 0.000 -4.236 5.423" Properties=species:S:1:pos:R:3 pbc="T T T"
Nb -1.063 -2.386 6.437
Nb -2.598 -0.273 9.830
Nb -1.535 2.113 6.437
Nb 1.535 -2.113 9.830
Nb 2.598 0.273 6.437
Nb 1.063 2.386 9.830
Pt 0.000 0.000 5.395
Pt 0.000 0.000 10.872
Rh -2.349 -0.220 7.249
Rh -0.984 -2.144 9.018
Rh 1.365 -1.924 7.249
Rh -1.365 1.924 9.018
Rh 0.984 2.144 7.249
Rh 2.349 0.220 9.018
```

Total energy, eV per atom: -8.42
Space group: No. 148
Total magnetization, μB per formula unit: 0.0
Formation enthalpy at 0 K, eV per atom: -0.0927